First-principles (PBE) data for a relaxed KGaBi4 crystal, as listed in Alexandria.

Results
Energy relative to the lowest polymorph listed for this composition (meV per atom): 65.9
Formation energy (eV/f.u.): 0.07
Uncorrected energy (eV/atom): -3.26
DOS(E_F) (states/eV/f.u.): 6.25

a = 6.684 Å, b = 6.684 Å, c = 6.684 Å
α = 60.00°, β = 60.00°, γ = 60.00°
Positions (direct):
Bi: 0.626 0.626 0.122
Bi: 0.626 0.122 0.626
Ga: 0.000 0.000 0.000
Bi: 0.122 0.626 0.626
Bi: 0.626 0.626 0.626
K: 0.250 0.250 0.250